# Nd2Sc3In4

A geometry-optimized Nd2Sc3In4 structure (PBE, Alexandria via LeMat-Bulk).

Geometry as CIF:
```
data_Nd2Sc3In4
_chemical_formula_sum 'Nd8 Sc12 In16'
_space_group_name_H-M_alt 'C m c e'
_space_group_IT_number 64
_space_group_name_Hall '-C 2ac 2'
_cell_length_a 6.7213
_cell_length_b 16.5865
_cell_length_c 8.6782
_cell_angle_alpha 90.00
_cell_angle_beta 90.00
_cell_angle_gamma 90.00
loop_
_atom_site_label
_atom_site_type_symbol
_atom_site_fract_x
_atom_site_fract_y
_atom_site_fract_z
Nd1 Nd 0.0000 0.1094 0.0841
Sc1 Sc 0.0000 0.0000 0.5000
Sc2 Sc 0.2500 0.2219 0.7500
In1 In 0.0000 0.1803 0.4618
In2 In 0.2500 0.0454 0.7500
```



# K2Y2Ir PBE relaxed
data_K2Y2Ir
_chemical_formula_sum 'K4 Y4 Ir2'
_space_group_name_H-M_alt 'I 4/m m m'
_space_group_IT_number 139
_space_group_name_Hall '-I 4 2'
_cell_length_a 3.8713
_cell_length_b 3.8713
_cell_length_c 20.5250
_cell_angle_alpha 90.00
_cell_angle_beta 90.00
_cell_angle_gamma 90.00
loop_
_atom_site_label
_atom_site_type_symbol
_atom_site_fract_x
_atom_site_fract_y
_atom_site_fract_z
K1 K 0.0000 0.5000 0.2500
Y1 Y 0.0000 0.0000 0.0729
Ir1 Ir 0.0000 0.0000 0.5000
# Energy above the most stable polymorph in this dataset: 2.33 eV/f.u.



# Tb6Pm3Pr2Er

A geometry-optimized Tb6Pm3Pr2Er structure (PBE, Alexandria via LeMat-Bulk).

Geometry as CIF:
```
data_Tb6Pm3Pr2Er
_chemical_formula_sum 'Tb12 Pm6 Pr4 Er2'
_space_group_name_H-M_alt 'C 1 2/m 1'
_space_group_IT_number 12
_cell_length_a 6.2486
_cell_length_b 10.8171
_cell_length_c 11.9214
_cell_angle_alpha 90.00
_cell_angle_beta 100.03
_cell_angle_gamma 90.00
loop_
_space_group_symop_operation_xyz
'x,y,z'
'-x,-y,-z'
'-x,y,-z'
'x,-y,z'
'x+1/2,y+1/2,z'
'-x+1/2,-y+1/2,-z'
'-x+1/2,y+1/2,-z'
'x+1/2,-y+1/2,z'
loop_
_atom_site_label
_atom_site_type_symbol
_atom_site_fract_x
_atom_site_fract_y
_atom_site_fract_z
Tb1 Tb 0.2485 0.0000 0.2497
Tb2 Tb 0.2496 0.1661 0.7500
Pm1 Pm 0.0000 0.1667 0.0000
Pm2 Pm 0.0000 0.5000 0.0000
Pr1 Pr 0.0000 0.3335 0.5000
Er1 Er 0.0000 0.0000 0.5000
```



no.,energy of formation from the pure elements (meV per atom),total DFT energy (no corrections) (eV per atom),size of the total moment (Bohr magnetons per cell)
1,-334,-4.72,0.00
2,552,-4.24,0.90
3,13,-4.67,0.00